# LiNbSeBr2 (PBE, relaxed)
# Energy above the lowest structure with this stoichiometry in eV per atom: 0.0000
# Raw formation energy in eV/atom: -0.545
# Size of the total moment in Bohr magnetons per cell: 1.871
data_LiNbSeBr2
_chemical_formula_sum 'Li1 Nb1 Se1 Br2'
_space_group_name_H-M_alt 'P 4/m m m'
_space_group_IT_number 123
_space_group_name_Hall '-P 4 2'
_cell_length_a 5.421
_cell_length_b 5.421
_cell_length_c 5.027
_cell_angle_alpha 90.00
_cell_angle_beta 90.00
_cell_angle_gamma 90.00
loop_
_atom_site_label
_atom_site_fract_x
_atom_site_fract_y
_atom_site_fract_z
Li1 0.000 0.000 0.000
Nb1 0.500 0.500 0.500
Se1 0.500 0.500 0.000
Br1 0.000 0.500 0.500